(1)
Below is HfZr4Sc after structural relaxation, with properties calculated at the PBE level.

Energy above the most stable polymorph in this dataset, meV/atom: 1033
DOS at the Fermi energy, states/eV/cell: 8.46
E_tot, eV/f.u.: -44.493
E_form, eV per atom: 0.997
Space group: Cmmm

Lattice parameters (Å, degrees): 5.3272 5.4812 5.4817 89.15 89.99 89.99
With the nearest neighbours (Å) after each atom.
Element x y z (fractional)
Hf 0.0000 0.5000 0.5000  2 Zr 2.57
Zr 0.5000 0.3288 0.6713  1 Sc 2.53, 1 Zr 2.64
Zr 0.0000 0.8287 0.8287  1 Hf 2.57, 1 Zr 2.68
Zr 0.0000 0.1713 0.1713  1 Hf 2.57, 1 Zr 2.68
Zr 0.5000 0.6712 0.3287  1 Sc 2.53, 1 Zr 2.64
Sc 0.5000 0.0000 0.0000  2 Zr 2.53

=====

(2)
Below is La5ThIr4 after structural relaxation, with properties calculated at the PBE level.

DOS at the Fermi energy, states/eV/cell: 6.39
E_tot, eV/f.u.: -74.673
E_form, eV per atom: -0.717
Space group: C2/m

Lattice parameters (Å, degrees): 4.2389 8.2002 9.3160 105.21 103.15 90.00
With the nearest neighbours (Å) after each atom.
Element x y z (fractional)
La 0.8387 0.6683 0.6774  3 Ir 2.83-2.84
La 0.8339 0.1384 0.6678  4 Ir 2.89-2.93
La 0.1661 0.8616 0.3322  4 Ir 2.89-2.93
La 0.5000 0.5000 0.0000  4 Ir 2.94
La 0.1613 0.3317 0.3226  3 Ir 2.83-2.84
Th 0.5000 0.0000 0.0000  6 Ir 2.96
Ir 0.3305 0.8909 0.6610  5 La 2.83-2.93, 1 Th 2.96
Ir 0.0009 0.7488 0.0019  4 La 2.84-2.94, 2 Th 2.96
Ir 0.6695 0.1091 0.3390  5 La 2.83-2.93, 1 Th 2.96
Ir 0.9991 0.2512 0.9981  4 La 2.84-2.94, 2 Th 2.96